Record 1
First-principles (PBEsol) data for a geometry-optimized Er5Ge2Sb2 structure, as listed in Alexandria.

**Uncorrected energy**: -5.8470 eV per atom

abc: 7.7265 8.3450 7.7469
angles: 90.00 90.00 117.58
With the nearest neighbours (Å) after each atom.
Positions (direct):
Er 0.9627 0.2542 0.6639  3 Ge 2.87-3.01, 3 Sb 3.06-3.12
Er 0.0373 0.7458 0.3361  3 Ge 2.87-3.01, 3 Sb 3.06-3.12
Er 0.5373 0.7458 0.1639  3 Ge 2.87-3.01, 3 Sb 3.06-3.12
Er 0.2085 0.7458 0.8361  3 Ge 2.87-3.01, 3 Sb 3.06-3.12
Er 0.4627 0.2542 0.8361  3 Ge 2.87-3.01, 3 Sb 3.06-3.12
Er 0.7915 0.2542 0.1639  3 Ge 2.87-3.01, 3 Sb 3.06-3.12
Er 0.2915 0.2542 0.3361  3 Ge 2.87-3.01, 3 Sb 3.06-3.12
Er 0.7085 0.7458 0.6639  3 Ge 2.87-3.01, 3 Sb 3.06-3.12
Er 0.0000 0.0000 0.0000  4 Ge 2.99-3.00, 2 Sb 3.04
Er 0.5000 0.0000 0.5000  4 Ge 2.99-3.00, 2 Sb 3.04
Ge 0.6384 0.0000 0.8625  8 Er 2.87-3.01, 1 Ge 3.02
Ge 0.3616 0.0000 0.1375  8 Er 2.87-3.01, 1 Ge 3.02
Ge 0.8616 0.0000 0.3625  8 Er 2.87-3.01, 1 Ge 3.02
Ge 0.1384 0.0000 0.6375  8 Er 2.87-3.01, 1 Ge 3.02
Sb 0.2052 0.4104 0.0000  7 Er 3.04-3.12
Sb 0.7948 0.5896 0.0000  7 Er 3.04-3.12
Sb 0.2948 0.5896 0.5000  7 Er 3.04-3.12
Sb 0.7052 0.4104 0.5000  7 Er 3.04-3.12



Record 2
First-principles (PBEsol) data for a geometry-optimized ZrP2RuS structure, as listed in Alexandria.

**Uncorrected energy**: -6.9994 eV per atom

abc: 4.2674 4.2674 5.4220
angles: 90.00 90.00 90.00
With the nearest neighbours (Å) after each atom.
Positions (direct):
Ru 0.0000 0.0000 0.0000  4 P 2.13
S 0.5000 0.5000 0.5000  4 Zr 3.02
Zr 0.0000 0.0000 0.5000  2 Ru 2.71, 4 S 3.02
P 0.0000 0.5000 0.0000  2 Ru 2.13
P 0.5000 0.0000 0.0000  2 Ru 2.13



| no. | M_tot (μB/f.u.) | density (Mg/m³) |
| --- | --- | --- |
| 1 | 0.00 | 9.2 |
| 2 | 0.00 | 4.8 |